First-principles (GGA-PBEsol) data for a relaxed TbErHg2 crystal, as listed in the Alexandria database.

Unit cell a=7.2902 b=7.2902 c=7.2902 alpha=90.00 beta=90.00 gamma=90.00
Closest atoms and distances in Å follow each position.
Space group Fm-3m (No. 225)
Asymmetric unit:
Tb 0.0000 0.0000 0.0000 (multiplicity 4)  8 Hg 3.16
Er 0.0000 0.0000 0.5000 (multiplicity 4)  8 Hg 3.16
Hg 0.2500 0.2500 0.2500 (multiplicity 8)  4 Tb 3.16, 4 Er 3.16

## Properties
total magnetization	0.01	μB/cell
calculated total energy	-3.343	eV per atom


First-principles (GGA-PBEsol) data for a relaxed Er2TlHg crystal, as listed in the Alexandria database.

Unit cell a=7.3165 b=7.3165 c=7.3165 alpha=90.00 beta=90.00 gamma=90.00
Closest atoms and distances in Å follow each position.
Space group Fm-3m (No. 225)
Asymmetric unit:
Er 0.2500 0.2500 0.2500 (multiplicity 8)  4 Hg 3.17, 4 Tl 3.17
Tl 0.0000 0.0000 0.0000 (multiplicity 4)  8 Er 3.17
Hg 0.0000 0.0000 0.5000 (multiplicity 4)  8 Er 3.17

## Properties
total magnetization	0.06	μB/cell
calculated total energy	-3.748	eV per atom


First-principles (GGA-PBEsol) data for a relaxed ErTmHg2 crystal, as listed in the Alexandria database.

Unit cell a=7.2322 b=7.2322 c=7.2322 alpha=90.00 beta=90.00 gamma=90.00
Closest atoms and distances in Å follow each position.
Space group Fm-3m (No. 225)
Asymmetric unit:
Er 0.0000 0.0000 0.0000 (multiplicity 4)  8 Hg 3.13
Tm 0.0000 0.0000 0.5000 (multiplicity 4)  8 Hg 3.13
Hg 0.2500 0.2500 0.2500 (multiplicity 8)  4 Tm 3.13, 4 Er 3.13

## Properties
total magnetization	0.00	μB/cell
calculated total energy	-3.321	eV per atom


First-principles (GGA-PBEsol) data for a relaxed YErHg2 crystal, as listed in the Alexandria database.

Unit cell a=7.2846 b=7.2846 c=7.2846 alpha=90.00 beta=90.00 gamma=90.00
Closest atoms and distances in Å follow each position.
Space group Fm-3m (No. 225)
Asymmetric unit:
Y 0.0000 0.0000 0.0000 (multiplicity 4)  8 Hg 3.15
Er 0.0000 0.0000 0.5000 (multiplicity 4)  8 Hg 3.15
Hg 0.2500 0.2500 0.2500 (multiplicity 8)  4 Er 3.15, 4 Y 3.15

## Properties
total magnetization	0.00	μB/cell
calculated total energy	-3.815	eV per atom